SrSmAg | PBE | optimized geometry

crystal system	cubic
total magnetic moment	0.10	μB per cell
polymorph energy (0 for the lowest one)	0.0000	eV per atom

abc: 5.2749 5.2749 5.2749
angles: 60.00 60.00 60.00
With the nearest neighbours (Å) after each atom.
Positions (direct):
Ag1 0.0000 0.0000 0.0000  4 Sr 3.23, 4 Sm 3.23
Sm1 0.2500 0.2500 0.2500  4 Ag 3.23
Sr1 0.7500 0.7500 0.7500  4 Ag 3.23